# 1
PrErCd14: optimized geometry, PBE-GGA.

The space group is P4/mmm (No. 123) and the conventional cell measures 6.654, 6.654 and 8.491 Å, with angles of 90.00, 90.00 and 90.00 degrees. The inequivalent atoms are Pr at (0.000, 0.000, 0.000), Er at (0.500, 0.500, 0.000), Cd at (0.000, 0.000, 0.500), Cd at (0.000, 0.500, 0.000), Cd at (0.000, 0.500, 0.500), Cd at (0.254, 0.254, 0.260) and Cd at (0.500, 0.500, 0.500).

The theoretical density comes out at 8.3 g/cm³. The calculation puts the formation energy at -0.14 eV/atom.

---

# 2
Ba2ZnCd4Ge3: optimized geometry, PBE-GGA.

The space group is P-4m2 (No. 115) and the conventional cell measures 4.693, 4.693 and 11.692 Å, with angles of 90.00, 90.00 and 90.00 degrees. The inequivalent atoms are Ba at (0.000, 0.500, 0.250), Zn at (0.000, 0.000, 0.500), Cd at (0.000, 0.000, 0.000), Cd at (0.000, 0.500, 0.628), Cd at (0.500, 0.500, 0.000), Ge at (0.000, 0.500, 0.862) and Ge at (0.500, 0.500, 0.500).

The theoretical density comes out at 6.5 g/cm³. The calculation puts the formation energy at -0.31 eV/atom.

---

# 3
Ac2PrVN4: optimized geometry, PBE-GGA.

The space group is Cmcm (No. 63) and the conventional cell measures 3.571, 12.277 and 13.041 Å, with angles of 90.00, 90.00 and 90.00 degrees. The inequivalent atoms are Ac at (0.000, 0.135, 0.043), Pr at (0.000, 0.409, 0.250), V at (0.000, 0.317, 0.750), N at (0.000, 0.098, 0.250), N at (0.000, 0.222, 0.645) and N at (0.000, 0.500, 0.000).

As for the total energy: -7.8739 eV/atom. The theoretical density comes out at 8.2 g/cm³.

---

# 4
Zr2FeAs: optimized geometry, PBE-GGA.

The space group is Amm2 (No. 38) and the conventional cell measures 3.900, 3.632 and 10.089 Å, with angles of 90.00, 90.00 and 90.00 degrees. The inequivalent atoms are Zr at (0.000, 0.000, 0.000), Zr at (0.500, 0.000, 0.291), Fe at (0.000, 0.000, 0.733) and As at (0.500, 0.000, 0.574).

The theoretical density comes out at 7.3 g/cm³. The calculation puts the formation energy at -0.66 eV/atom.

---

# 5
KTlGeTe3: optimized geometry, PBE-GGA.

The space group is P2_1/m (No. 11) and the conventional cell measures 8.940, 5.050 and 10.006 Å, with angles of 90.00, 107.68 and 90.00 degrees. The inequivalent atoms are K at (0.238, 0.250, 0.226), Tl at (0.178, 0.750, 0.589), Ge at (0.382, 0.250, 0.861), Te at (0.028, 0.250, 0.728), Te at (0.306, 0.750, 0.942) and Te at (0.450, 0.250, 0.623).

As for the total energy: -3.2613 eV/atom. The theoretical density comes out at 5.4 g/cm³.

---

# 6
SmDy3Tm2Se6: optimized geometry, PBE-GGA.

The space group is C2/m (No. 12) and the conventional cell measures 7.028, 12.239 and 7.059 Å, with angles of 90.00, 109.42 and 90.00 degrees. The inequivalent atoms are Sm at (0.000, 0.000, 0.000), Dy at (0.000, 0.159, 0.500), Dy at (0.000, 0.500, 0.500), Tm at (0.000, 0.335, 0.000), Se at (0.239, 0.500, 0.245) and Se at (0.245, 0.328, 0.749).

As for the total energy: -5.7633 eV/atom. The theoretical density comes out at 8.4 g/cm³.

---

# 7
AcLa5Mg6: optimized geometry, PBE-GGA.

The space group is Cmmm (No. 65) and the conventional cell measures 5.636, 16.915 and 7.994 Å, with angles of 90.00, 90.00 and 90.00 degrees. The inequivalent atoms are Ac at (0.000, 0.000, 0.000), La at (0.000, 0.000, 0.500), La at (0.000, 0.334, 0.000), La at (0.000, 0.334, 0.500), Mg at (0.000, 0.169, 0.254) and Mg at (0.000, 0.500, 0.257).

The theoretical density comes out at 4.7 g/cm³. The calculation puts the formation energy at -0.11 eV/atom.

---

# 8
TbPaSn2: optimized geometry, PBE-GGA.

The space group is P4/mmm (No. 123) and the conventional cell measures 4.893, 4.893 and 4.374 Å, with angles of 90.00, 90.00 and 90.00 degrees. The inequivalent atoms are Tb at (0.000, 0.000, 0.000), Pa at (0.500, 0.500, 0.000) and Sn at (0.000, 0.500, 0.500).

The theoretical density comes out at 9.9 g/cm³. The calculation puts the formation energy at -0.37 eV/atom.

---

> What is the theoretical density in the third record?

8.2 g/cm³